Here is crystalline WBr2F at its relaxed geometry from the Alexandria database. Energies are from PBE with a Hubbard U.

Cell and atoms, written as CIF:
```
data_WBr2F
_chemical_formula_sum 'W4 Br8 F4'
_symmetry_space_group_name_H-M 'I -4 2 d'
_symmetry_Int_Tables_number 122
_symmetry_space_group_name_Hall 'I -4 2bw'
_cell_length_a 9.8746
_cell_length_b 9.8746
_cell_length_c 4.2377
_cell_angle_alpha 90.00
_cell_angle_beta 90.00
_cell_angle_gamma 90.00
loop_
_atom_site_label
_atom_site_fract_x
_atom_site_fract_y
_atom_site_fract_z
W1 0.0000 0.0000 0.0000
Br1 0.0977 0.2500 0.1250
F1 0.0000 0.0000 0.5000
```

**Energy relative to the lowest polymorph listed for this composition**: 0.000 eV per atom
**Final energy**: -4.25 eV per atom
**M_tot**: 3.000 μB per formula unit